Here is Hf2Ta4Al3C3 after structural relaxation from the Open Quantum Materials Database. Energies are from GGA-PBE.

a = 5.4535 Å, b = 5.4535 Å, c = 14.4077 Å
α = 100.99°, β = 100.99°, γ = 59.99°
With the nearest neighbours (Å) after each atom.
Fractional coordinates of all 24 atoms:
Hf 0.4670 0.6312 0.4027  3 C 2.27-2.29
Hf 0.6312 0.4670 0.9027  3 C 2.27-2.29
Hf 0.5330 0.3688 0.5973  3 C 2.27-2.29
Hf 0.3688 0.5330 0.0973  3 C 2.27-2.29
Ta 0.0250 0.1991 0.0857  3 C 2.17-2.19
Ta 0.8587 0.6954 0.5858  3 C 2.17-2.19
Ta 0.6954 0.8587 0.0858  3 C 2.17-2.19
Ta 0.1991 0.0250 0.5857  3 C 2.17-2.19
Ta 0.9750 0.8009 0.9143  3 C 2.17-2.19
Ta 0.3046 0.1413 0.9142  3 C 2.17-2.19
Ta 0.1413 0.3046 0.4142  3 C 2.17-2.19
Ta 0.8009 0.9750 0.4143  3 C 2.17-2.19
C 0.5000 0.0000 0.5000  4 Ta 2.17, 2 Hf 2.29
C 0.8349 0.3326 0.5000  4 Ta 2.17-2.19, 2 Hf 2.27
C 0.6674 0.1651 0.0000  4 Ta 2.17-2.19, 2 Hf 2.27
C 0.3326 0.8349 0.0000  4 Ta 2.17-2.19, 2 Hf 2.27
C 0.0000 0.5000 0.0000  4 Ta 2.17, 2 Hf 2.29
C 0.1651 0.6674 0.5000  4 Ta 2.17-2.19, 2 Hf 2.27
Al 0.7924 0.5842 0.2509  4 Ta 2.87-2.88, 2 Hf 2.96-2.97, 4 Al 2.97
Al 0.2076 0.4158 0.7491  4 Ta 2.87-2.88, 2 Hf 2.96-2.97, 4 Al 2.97
Al 0.5842 0.7924 0.7509  4 Ta 2.87-2.88, 2 Hf 2.96-2.97, 4 Al 2.97
Al 0.9595 0.0405 0.7500  4 Ta 2.88, 4 Al 2.97, 2 Hf 2.97
Al 0.4158 0.2076 0.2491  4 Ta 2.87-2.88, 2 Hf 2.96-2.97, 4 Al 2.97
Al 0.0405 0.9595 0.2500  4 Ta 2.88, 4 Al 2.97, 2 Hf 2.97

Output
Its symmetry is C2/c, No. 15.

---

Here is Hf4AlTeC2 after structural relaxation from the Open Quantum Materials Database. Energies are from GGA-PBE.

a = 3.3903 Å, b = 3.3903 Å, c = 13.7799 Å
α = 90.00°, β = 90.00°, γ = 120.00°
With the nearest neighbours (Å) after each atom.
Fractional coordinates of all 8 atoms:
Hf 0.6667 0.3333 0.8337  3 C 2.30
Hf 0.6667 0.3333 0.1663  3 C 2.30
Hf 0.3333 0.6667 0.6583  3 C 2.30
Hf 0.3333 0.6667 0.3417  3 C 2.30
Al 0.3333 0.6667 0.0000  6 Hf 3.01
Te 0.6667 0.3333 0.5000  6 Hf 2.93
C 0.0000 0.0000 0.2543  6 Hf 2.30
C 0.0000 0.0000 0.7457  6 Hf 2.30

Output
Its symmetry is P-6m2, No. 187.

---

Here is Hf4AlTlC2 after structural relaxation from the Open Quantum Materials Database. Energies are from GGA-PBE.

a = 3.3097 Å, b = 3.3097 Å, c = 14.6131 Å
α = 90.00°, β = 90.00°, γ = 120.00°
With the nearest neighbours (Å) after each atom.
Fractional coordinates of all 8 atoms:
Hf 0.6667 0.3333 0.8406  3 C 2.29
Hf 0.0000 0.0000 0.6726  3 C 2.26
Hf 0.0000 0.0000 0.3274  3 C 2.26
Hf 0.6667 0.3333 0.1594  3 C 2.29
C 0.3333 0.6667 0.7548  6 Hf 2.26-2.29
C 0.3333 0.6667 0.2452  6 Hf 2.26-2.29
Al 0.0000 0.0000 0.0000  6 Hf 3.01, 6 Al 3.31
Tl 0.6667 0.3333 0.5000  6 Hf 3.16, 6 Tl 3.31

Output
Its symmetry is P-6m2, No. 187.

---

Here is Hf4Al3W2C3 after structural relaxation from the Open Quantum Materials Database. Energies are from GGA-PBE.

a = 5.4898 Å, b = 5.4898 Å, c = 14.2851 Å
α = 101.16°, β = 101.16°, γ = 60.12°
With the nearest neighbours (Å) after each atom.
Fractional coordinates of all 24 atoms:
Al 0.4172 0.2923 0.7511  2 Al 2.76-2.77, 2 W 2.84-2.85, 4 Hf 2.92-2.93
Al 0.2923 0.4172 0.2511  2 Al 2.76-2.77, 2 W 2.84-2.85, 4 Hf 2.92-2.93
Al 0.8721 0.1279 0.2500  2 Al 2.76, 2 W 2.83, 4 Hf 2.92
Al 0.1279 0.8721 0.7500  2 Al 2.76, 2 W 2.83, 4 Hf 2.92
Al 0.7077 0.5828 0.7489  2 Al 2.76-2.77, 2 W 2.84-2.85, 4 Hf 2.92-2.93
Al 0.5828 0.7077 0.2489  2 Al 2.76-2.77, 2 W 2.84-2.85, 4 Hf 2.92-2.93
Hf 0.8685 0.6973 0.0942  3 C 2.25-2.26
Hf 0.1946 0.0346 0.0943  3 C 2.25-2.26
Hf 0.9654 0.8054 0.4057  3 C 2.25-2.26
Hf 0.8054 0.9654 0.9057  3 C 2.25-2.26
Hf 0.3027 0.1315 0.4058  3 C 2.25-2.26
Hf 0.0346 0.1946 0.5943  3 C 2.25-2.26
Hf 0.6973 0.8685 0.5942  3 C 2.25-2.26
Hf 0.1315 0.3027 0.9058  3 C 2.25-2.26
C 0.8291 0.3354 0.0000  2 W 2.15, 4 Hf 2.25-2.26
C 0.1709 0.6646 0.0000  2 W 2.15, 4 Hf 2.25-2.26
C 0.5000 0.0000 0.0000  2 W 2.13, 4 Hf 2.26
C 0.0000 0.5000 0.5000  2 W 2.13, 4 Hf 2.26
C 0.6646 0.1709 0.5000  2 W 2.15, 4 Hf 2.25-2.26
C 0.3354 0.8291 0.5000  2 W 2.15, 4 Hf 2.25-2.26
W 0.3553 0.5268 0.5815  3 C 2.13-2.15
W 0.5268 0.3553 0.0815  3 C 2.13-2.15
W 0.4732 0.6447 0.9185  3 C 2.13-2.15
W 0.6447 0.4732 0.4185  3 C 2.13-2.15

Output
Its symmetry is C2/c, No. 15.

---

Here is Y4Hf2Al3C3 after structural relaxation from the Open Quantum Materials Database. Energies are from GGA-PBE.

a = 6.0659 Å, b = 6.0659 Å, c = 15.3214 Å
α = 101.78°, β = 101.78°, γ = 60.10°
With the nearest neighbours (Å) after each atom.
Fractional coordinates of all 24 atoms:
Y 0.1933 0.0394 0.0977  3 C 2.51-2.56
Y 0.3010 0.1260 0.4022  3 C 2.51-2.56
Y 0.0394 0.1933 0.5977  3 C 2.51-2.56
Y 0.9606 0.8067 0.4023  3 C 2.51-2.56
Y 0.8067 0.9606 0.9023  3 C 2.51-2.56
Y 0.1260 0.3010 0.9022  3 C 2.51-2.56
Y 0.6990 0.8740 0.5978  3 C 2.51-2.56
Y 0.8740 0.6990 0.0978  3 C 2.51-2.56
Hf 0.3511 0.5252 0.5751  3 C 2.23-2.27
Hf 0.4748 0.6489 0.9249  3 C 2.23-2.27
Hf 0.5252 0.3511 0.0751  3 C 2.23-2.27
Hf 0.6489 0.4748 0.4249  3 C 2.23-2.27
Al 0.5824 0.6750 0.2497  2 Al 2.71
Al 0.8405 0.1595 0.2500  2 Al 2.71, 2 Hf 3.03
Al 0.3250 0.4176 0.2503  2 Al 2.71
Al 0.6750 0.5824 0.7497  2 Al 2.71
Al 0.4176 0.3250 0.7503  2 Al 2.71
Al 0.1595 0.8405 0.7500  2 Al 2.71, 2 Hf 3.03
C 0.3464 0.8072 0.5001  2 Hf 2.23
C 0.8072 0.3464 0.0001  2 Hf 2.23
C 0.0000 0.5000 0.5000  2 Hf 2.27, 4 Y 2.51
C 0.6536 0.1928 0.4999  2 Hf 2.23
C 0.1928 0.6536 0.9999  2 Hf 2.23
C 0.5000 0.0000 0.0000  2 Hf 2.27, 4 Y 2.51

Output
Its symmetry is C2/c, No. 15.

---

Here is Hf4AlZnC2 after structural relaxation from the Open Quantum Materials Database. Energies are from GGA-PBE.

a = 3.2697 Å, b = 3.2697 Å, c = 14.3347 Å
α = 90.00°, β = 90.00°, γ = 120.00°
With the nearest neighbours (Å) after each atom.
Fractional coordinates of all 8 atoms:
Hf 0.3333 0.6667 0.1634  3 C 2.27
Hf 0.0000 0.0000 0.3385  3 C 2.27
Hf 0.0000 0.0000 0.6615  3 C 2.27
Hf 0.3333 0.6667 0.8366  3 C 2.27
C 0.6667 0.3333 0.2510  6 Hf 2.27
C 0.6667 0.3333 0.7490  6 Hf 2.27
Zn 0.3333 0.6667 0.5000  6 Hf 2.99, 6 Zn 3.27
Al 0.0000 0.0000 0.0000  6 Hf 3.01, 6 Al 3.27

Output
Its symmetry is P-6m2, No. 187.

---

Here is Hf2Zr4Al3C3 after structural relaxation from the Open Quantum Materials Database. Energies are from GGA-PBE.

a = 5.7317 Å, b = 5.7317 Å, c = 14.8860 Å
α = 101.11°, β = 101.11°, γ = 60.01°
With the nearest neighbours (Å) after each atom.
Fractional coordinates of all 24 atoms:
Zr 0.8644 0.6961 0.5885  3 C 2.31
Zr 0.1947 0.0310 0.5884  3 C 2.30-2.31
Zr 0.9690 0.8053 0.9116  3 C 2.30-2.31
Zr 0.1356 0.3039 0.4115  3 C 2.31
Zr 0.8053 0.9690 0.4115  3 C 2.30-2.31
Zr 0.6961 0.8644 0.0885  3 C 2.31
Zr 0.3039 0.1356 0.9115  3 C 2.31
Zr 0.0310 0.1947 0.0884  3 C 2.30-2.31
Hf 0.5281 0.3599 0.5844  3 C 2.26
Hf 0.3599 0.5281 0.0844  3 C 2.26
Hf 0.4719 0.6401 0.4156  3 C 2.26
Hf 0.6401 0.4719 0.9156  3 C 2.26
C 0.0000 0.5000 0.0000  2 Hf 2.26, 4 Zr 2.30-2.31
C 0.8294 0.3352 0.5000  2 Hf 2.26, 4 Zr 2.31
C 0.6648 0.1706 0.0000  2 Hf 2.26, 4 Zr 2.31
C 0.5000 0.0000 0.5000  2 Hf 2.26, 4 Zr 2.30-2.31
C 0.3352 0.8294 0.0000  2 Hf 2.26, 4 Zr 2.31
C 0.1706 0.6648 0.5000  2 Hf 2.26, 4 Zr 2.31
Al 0.2641 0.4173 0.7502  2 Hf 3.02, 4 Zr 3.05-3.06, 2 Al 3.16-3.17
Al 0.0981 0.9019 0.2500  2 Hf 3.02, 4 Zr 3.05, 2 Al 3.17
Al 0.4173 0.2641 0.2502  2 Hf 3.02, 4 Zr 3.05-3.06, 2 Al 3.16-3.17
Al 0.5827 0.7359 0.7498  2 Hf 3.02, 4 Zr 3.05-3.06, 2 Al 3.16-3.17
Al 0.7359 0.5827 0.2498  2 Hf 3.02, 4 Zr 3.05-3.06, 2 Al 3.16-3.17
Al 0.9019 0.0981 0.7500  2 Hf 3.02, 4 Zr 3.05, 2 Al 3.17

Output
Its symmetry is C2/c, No. 15.

---

Here is Hf4Zr2Al3C3 after structural relaxation from the Open Quantum Materials Database. Energies are from GGA-PBE.

a = 5.7001 Å, b = 5.7001 Å, c = 14.8170 Å
α = 101.08°, β = 101.08°, γ = 60.01°
With the nearest neighbours (Å) after each atom.
Fractional coordinates of all 24 atoms:
Hf 0.0269 0.1966 0.5854  3 C 2.26
Hf 0.9731 0.8034 0.4146  3 C 2.26
Hf 0.8034 0.9731 0.9146  3 C 2.26
Hf 0.6951 0.8602 0.5854  3 C 2.26
Hf 0.1966 0.0269 0.0854  3 C 2.26
Hf 0.8602 0.6951 0.0854  3 C 2.26
Hf 0.3049 0.1398 0.4146  3 C 2.26
Hf 0.1398 0.3049 0.9146  3 C 2.26
C 0.8369 0.3315 0.0000  4 Hf 2.26, 2 Zr 2.31
C 0.6685 0.1631 0.5000  4 Hf 2.26, 2 Zr 2.31
C 0.3315 0.8369 0.5000  4 Hf 2.26, 2 Zr 2.31
C 0.5000 0.0000 0.0000  4 Hf 2.26, 2 Zr 2.31
C 0.1631 0.6685 0.0000  4 Hf 2.26, 2 Zr 2.31
C 0.0000 0.5000 0.5000  4 Hf 2.26, 2 Zr 2.31
Al 0.0661 0.9339 0.7500  4 Hf 3.02, 2 Zr 3.06, 4 Al 3.21
Al 0.9339 0.0661 0.2500  4 Hf 3.02, 2 Zr 3.06, 4 Al 3.21
Al 0.7671 0.5833 0.7502  4 Hf 3.01-3.02, 2 Zr 3.05, 4 Al 3.21
Al 0.2329 0.4167 0.2498  4 Hf 3.01-3.02, 2 Zr 3.05, 4 Al 3.21
Al 0.4167 0.2329 0.7498  4 Hf 3.01-3.02, 2 Zr 3.05, 4 Al 3.21
Al 0.5833 0.7671 0.2502  4 Hf 3.01-3.02, 2 Zr 3.05, 4 Al 3.21
Zr 0.6353 0.4699 0.4099  3 C 2.31
Zr 0.5301 0.3647 0.0901  3 C 2.31
Zr 0.3647 0.5301 0.5901  3 C 2.31
Zr 0.4699 0.6353 0.9099  3 C 2.31

Output
Its symmetry is C2/c, No. 15.

---

no.,VASP energy (eV for the cell shown)
1,-227.28
2,-71.06
3,-69.68
4,-222.67
5,-180.18
6,-68.27
7,-201.99
8,-208.05